(1)
Material: ReAsIr2
Method: DFT, PBE
State: optimized geometry

Computed properties:
VASP energy (eV/atom): -8.501

```
ReAsIr2
1.0
2.883 0.000 0.000
0.000 2.883 0.000
0.000 0.000 7.198
Ir As Re
2 1 1
Direct
0.500 0.500 0.266 Ir
0.000 0.000 0.979 Ir
0.500 0.500 0.755 As
0.000 0.000 0.500 Re
```



(2)
Material: K3ZrSi
Method: DFT, PBE
State: optimized geometry

Computed properties:
Formation energy without anion corrections (eV per atom): 1.58
Offset from the most stable computed form (meV per atom): 341
VASP energy (eV/atom): -1.871

```
K3ZrSi
1.0
6.681 0.000 0.000
0.000 6.681 0.000
0.000 0.000 6.681
K Si Zr
3 1 1
Direct
0.500 0.000 0.000 K
0.000 0.000 0.500 K
0.000 0.500 0.000 K
0.500 0.500 0.500 Si
0.000 0.000 0.000 Zr
```



(3)
Material: K3Sm2SnSe6
Method: DFT, PBE
State: optimized geometry

Computed properties:
Formation energy without anion corrections (eV per atom): -1.40
VASP energy (eV/atom): -4.536

```
K3Sm2SnSe6
1.0
-3.596 6.476 -0.423
-0.885 -5.090 -5.326
-4.420 -3.491 5.792
Sn Sm Se K
1 2 6 3
Direct
0.000 0.000 0.000 Sn
0.333 0.667 0.000 Sm
0.667 0.333 0.000 Sm
0.601 0.931 0.793 Se
0.931 0.601 0.793 Se
0.069 0.399 0.207 Se
0.399 0.069 0.207 Se
0.261 0.261 0.793 Se
0.739 0.739 0.207 Se
0.500 0.500 0.500 K
0.834 0.166 0.500 K
0.166 0.834 0.500 K
```



(4)
Material: ZrScCu2
Method: DFT, PBE
State: optimized geometry

Computed properties:
Offset from the most stable computed form (meV per atom): 295
VASP energy (eV/atom): -5.655

```
ZrScCu2
1.0
-1.641 -6.261 -6.038
-2.005 -7.916 -3.415
-4.376 -6.218 -4.532
Cu Zr Sc
2 1 1
Direct
0.258 0.258 0.258 Cu
0.991 0.991 0.991 Cu
0.742 0.742 0.742 Zr
0.509 0.509 0.509 Sc
```



Look up the VASP energy of the second one.
-1.871 eV/atom



What is the formula in the fourth record?
ZrScCu2



Among the records above, which one has the highest VASP energy?
K3ZrSi



Copy entry 1 word for word.
Material: ReAsIr2
Method: DFT, PBE
State: optimized geometry

Computed properties:
VASP energy (eV/atom): -8.501

```
ReAsIr2
1.0
2.883 0.000 0.000
0.000 2.883 0.000
0.000 0.000 7.198
Ir As Re
2 1 1
Direct
0.500 0.500 0.266 Ir
0.000 0.000 0.979 Ir
0.500 0.500 0.755 As
0.000 0.000 0.500 Re
```